A crystal of Na5SnAs3 relaxed with PBEsol. Source: the Alexandria database, functional SCAN.

a = 8.539 Å, b = 7.563 Å, c = 15.976 Å
α = 90.00°, β = 121.81°, γ = 90.00°
Space group P2_1/c (No. 14)
Asymmetric unit:
Na 0.007 0.161 0.082 [4 per cell]
Na 0.090 0.006 0.758 [4 per cell]
Na 0.255 0.523 0.087 [4 per cell]
Na 0.313 0.643 0.743 [4 per cell]
Na 0.410 0.038 0.089 [4 per cell]
Sn 0.340 0.148 0.410 [4 per cell]
As 0.060 0.231 0.917 [4 per cell]
As 0.330 0.708 0.929 [4 per cell]
As 0.363 0.247 0.261 [4 per cell]

Properties
DFT formation energy (meV per atom): -514.3
Crystal system: monoclinic
Uncorrected energy (eV/cell): -488.8
Total moment (Bohr magnetons per cell): 0.00

---

A crystal of Na2Sr3As4 relaxed with PBEsol. Source: the Alexandria database, functional SCAN.

a = 8.206 Å, b = 7.472 Å, c = 17.444 Å
α = 90.00°, β = 117.97°, γ = 90.00°
Space group P2_1/c (No. 14)
Asymmetric unit:
Na 0.204 0.185 0.377 [4 per cell]
Na 0.264 0.641 0.751 [4 per cell]
Sr 0.052 0.681 0.371 [4 per cell]
Sr 0.292 0.525 0.098 [4 per cell]
Sr 0.410 0.025 0.099 [4 per cell]
As 0.006 0.649 0.538 [4 per cell]
As 0.169 0.017 0.750 [4 per cell]
As 0.380 0.242 0.249 [4 per cell]
As 0.430 0.647 0.962 [4 per cell]

Properties
DFT formation energy (meV per atom): -1015.9
Crystal system: monoclinic
Uncorrected energy (eV/cell): -660.6
Total moment (Bohr magnetons per cell): 0.00

---

A crystal of NaTc2As2 relaxed with PBEsol. Source: the Alexandria database, functional SCAN.

a = 4.137 Å, b = 4.137 Å, c = 10.373 Å
α = 90.00°, β = 90.00°, γ = 90.00°
Space group I4/mmm (No. 139)
Asymmetric unit:
Na 0.000 0.000 0.000 [2 per cell]
Tc 0.000 0.500 0.250 [4 per cell]
As 0.000 0.000 0.374 [4 per cell]

Properties
DFT formation energy (meV per atom): -247.2
D(E_F) (states/eV/f.u.): 3.06
Crystal system: tetragonal
Uncorrected energy (eV/cell): -231.9
Total moment (Bohr magnetons per cell): 0.59

---

A crystal of Na2Te2As relaxed with PBEsol. Source: the Alexandria database, functional SCAN.

a = 8.690 Å, b = 9.760 Å, c = 13.579 Å
α = 90.00°, β = 90.00°, γ = 90.00°
Space group P2_12_12_1 (No. 19)
Asymmetric unit:
Na 0.069 0.131 0.376 [4 per cell]
Na 0.091 0.635 0.869 [4 per cell]
Na 0.181 0.556 0.565 [4 per cell]
Na 0.235 0.753 0.311 [4 per cell]
Te 0.012 0.835 0.498 [4 per cell]
Te 0.081 0.451 0.293 [4 per cell]
Te 0.105 0.955 0.792 [4 per cell]
Te 0.230 0.242 0.570 [4 per cell]
As 0.103 0.978 0.056 [4 per cell]
As 0.225 0.847 0.635 [4 per cell]

Properties
Crystal system: orthorhombic
Uncorrected energy (eV/cell): -851.3
ΔE_f (raw) (eV/f.u.): -3.29
Total moment (Bohr magnetons per cell): 0.00

---

A crystal of NaTe2As relaxed with PBEsol. Source: the Alexandria database, functional SCAN.

a = 6.818 Å, b = 6.818 Å, c = 13.120 Å
α = 90.00°, β = 90.00°, γ = 90.00°
Space group I-42d (No. 122)
Asymmetric unit:
Na 0.000 0.000 0.000 [4 per cell]
Te 0.206 0.250 0.625 [8 per cell]
As 0.000 0.000 0.500 [4 per cell]

Properties
D(E_F) (states/eV/f.u.): 0.04
Crystal system: tetragonal
Uncorrected energy (eV/cell): -399.4
ΔE_f (raw) (eV/f.u.): -0.95
Total moment (Bohr magnetons per cell): 0.00

---

A crystal of NaZn4As3 relaxed with PBEsol. Source: the Alexandria database, functional SCAN.

a = 4.1155 Å, b = 4.1155 Å, c = 32.4063 Å
α = 90.00°, β = 90.00°, γ = 120.00°
Space group R-3m (No. 166, hexagonal axes)
Asymmetric unit:
Na 0.0000 0.0000 0.0000 [3 per cell]
Zn 0.0000 0.0000 0.1993 [6 per cell]
Zn 0.0000 0.0000 0.4105 [6 per cell]
As 0.0000 0.0000 0.2744 [6 per cell]
As 0.0000 0.0000 0.5000 [3 per cell]

Properties
DFT formation energy (meV per atom): -302.1
D(E_F) (states/eV/f.u.): 0.18
Crystal system: trigonal
Uncorrected energy (eV/cell): -363.8
Total moment (Bohr magnetons per cell): 0.00

---

A crystal of NbAs relaxed with PBEsol. Source: the Alexandria database, functional SCAN.

a = 3.446 Å, b = 3.446 Å, c = 11.599 Å
α = 90.00°, β = 90.00°, γ = 90.00°
Space group I4_1md (No. 109)
Asymmetric unit:
Nb 0.000 0.000 0.000 [4 per cell]
As 0.000 0.000 0.419 [4 per cell]

Properties
DFT formation energy (meV per atom): -757.3
D(E_F) (states/eV/f.u.): 0.15
Crystal system: tetragonal
Uncorrected energy (eV/cell): -219.3
Total moment (Bohr magnetons per cell): 0.00

---

A crystal of Nb4As3 relaxed with PBEsol. Source: the Alexandria database, functional SCAN.

a = 3.494 Å, b = 14.673 Å, c = 18.726 Å
α = 90.00°, β = 90.00°, γ = 90.00°
Space group Cmcm (No. 63)
Asymmetric unit:
Nb 0.000 0.000 0.000 [4 per cell]
Nb 0.000 0.054 0.250 [4 per cell]
Nb 0.000 0.263 0.161 [8 per cell]
Nb 0.000 0.330 0.528 [8 per cell]
Nb 0.000 0.467 0.120 [8 per cell]
As 0.000 0.099 0.118 [8 per cell]
As 0.000 0.157 0.578 [8 per cell]
As 0.000 0.308 0.750 [4 per cell]
As 0.000 0.413 0.250 [4 per cell]

Properties
DFT formation energy (meV per atom): -677.6
D(E_F) (states/eV/f.u.): 3.44
Crystal system: orthorhombic
Uncorrected energy (eV/cell): -1582.7
Total moment (Bohr magnetons per cell): 0.00

---

Q: What is the formula in the eighth record?
A: Nb4As3